YBe2S | PBE | relaxed

Summary:
- Density: 3.55 g/cm³
- DOS(E_F): 0.44 states/eV/atom
- VASP energy: -4.678 eV per atom

abc: 6.988 6.988 5.612
angles: 51.49 51.49 90.00
Element x y z (fractional)
Be 0.375 0.446 0.750
Be 0.554 0.125 0.250
Be 0.196 0.625 0.250
Be 0.875 0.804 0.750
S 0.500 0.500 0.000
S 0.250 0.750 0.500
Y 0.000 0.000 0.000
Y 0.750 0.250 0.500

=====

Y2BeS | PBE | relaxed

Summary:
- Polymorph energy (0 for the lowest one): 0 kJ/mol of formula units
- Density: 3.85 g/cm³
- DOS(E_F): 0.42 states/eV/atom
- VASP energy: -5.674 eV per atom

abc: 7.194 7.194 6.259
angles: 54.92 54.92 90.00
Element x y z (fractional)
Y 0.375 0.370 0.750
Y 0.120 0.625 0.250
Y 0.875 0.880 0.750
Y 0.630 0.125 0.250
Be 0.250 0.750 0.500
Be 0.500 0.500 0.000
S 0.000 0.000 0.000
S 0.750 0.250 0.500

=====

Y6BeS5 | PBE | relaxed

Summary:
- Density: 4.51 g/cm³
- DOS(E_F): 0.30 states/eV/atom
- VASP energy: -6.953 eV per atom

abc: 6.806 6.836 6.822
angles: 59.93 80.36 70.48
Element x y z (fractional)
Y 0.757 0.405 0.676
Y 0.243 0.919 0.676
Y 0.757 0.081 0.324
Y 0.755 0.758 0.000
Y 0.243 0.595 0.324
Y 0.245 0.242 0.000
S 0.500 0.171 0.658
S 0.500 0.829 0.342
S 0.500 0.500 0.000
S 0.000 0.334 0.331
S 0.000 0.666 0.669
Be 0.000 0.000 0.000

=====

YBeS3 | PBE | relaxed

Summary:
- Polymorph energy (0 for the lowest one): 504 kJ/mol of formula units
- Density: 2.28 g/cm³
- DOS(E_F): 1.28 states/eV/atom
- VASP energy: -4.289 eV per atom

abc: 5.206 5.206 5.206
angles: 90.00 90.00 90.00
Site moments in Bohr magnetons follow the coordinates.
Element x y z (fractional)
Y 0.000 0.000 0.000  -0.01
S 0.500 0.000 0.000  0.17
S 0.000 0.000 0.500  0.18
S 0.000 0.500 0.000  0.19
Be 0.500 0.500 0.500  -0.01

=====

Y5BeS4 | PBE | relaxed

Summary:
- Density: 4.49 g/cm³
- DOS(E_F): 0.28 states/eV/atom
- VASP energy: -6.880 eV per atom

abc: 5.556 6.818 6.818
angles: 80.44 65.95 65.95
Element x y z (fractional)
Y 0.295 0.804 0.607
Y 0.099 0.607 0.196
Y 0.903 0.393 0.804
Y 0.707 0.196 0.393
Y 0.501 0.000 0.000
Be 0.001 0.000 0.000
S 0.804 0.794 0.600
S 0.598 0.600 0.206
S 0.198 0.206 0.400
S 0.404 0.400 0.794

=====

Y2BeS | PBE | relaxed

Summary:
- Polymorph energy (0 for the lowest one): 17 kJ/mol of formula units
- Density: 4.46 g/cm³
- DOS(E_F): 0.62 states/eV/atom
- VASP energy: -5.628 eV per atom

abc: 4.867 4.867 4.867
angles: 60.00 60.00 60.00
Element x y z (fractional)
S 0.500 0.500 0.500
Y 0.250 0.250 0.250
Y 0.750 0.750 0.750
Be 0.000 0.000 0.000

=====

YBe3S | PBE | relaxed

Summary:
- Polymorph energy (0 for the lowest one): 0 kJ/mol of formula units
- Density: 3.17 g/cm³
- DOS(E_F): 0.27 states/eV/atom
- VASP energy: -3.878 eV per atom

abc: 4.263 4.263 4.263
angles: 90.00 90.00 90.00
Element x y z (fractional)
Be 0.000 0.500 0.000
Be 0.000 0.000 0.500
Be 0.500 0.000 0.000
Y 0.500 0.500 0.500
S 0.000 0.000 0.000

=====

YBeS3 | PBE | relaxed

Summary:
- Polymorph energy (0 for the lowest one): 0 kJ/mol of formula units
- Density: 3.72 g/cm³
- DOS(E_F): 0.76 states/eV/atom
- VASP energy: -5.333 eV per atom

abc: 4.425 4.425 4.425
angles: 90.00 90.00 90.00
Element x y z (fractional)
S 0.000 0.000 0.500
S 0.500 0.000 0.000
S 0.000 0.500 0.000
Be 0.000 0.000 0.000
Y 0.500 0.500 0.500